(1)
La2Pm2Y7 | PBE-GGA | optimized geometry

Lattice parameters (Å, degrees): 8.210 8.210 6.110 105.92 105.92 91.72
Fractional coordinates of all 11 atoms:
1 La 0.212 0.788 0.000
2 La 0.788 0.212 0.000
3 Pm 0.407 0.407 0.691
4 Pm 0.593 0.593 0.309
5 Y 0.000 0.000 0.500
6 Y 0.063 0.591 0.328
7 Y 0.234 0.234 0.086
8 Y 0.409 0.937 0.672
9 Y 0.591 0.063 0.328
10 Y 0.766 0.766 0.914
11 Y 0.937 0.409 0.672

Output
**Raw total energy**: -62.88 eV for the cell shown
**DFT formation energy**: 0.1571 eV/atom
**Total magnetic moment**: 0.0 Bohr magnetons per cell
**ΔE to the lowest computed polymorph**: 0.000 eV per atom

(2)
NaNiAs2Se | PBE-GGA | optimized geometry

Lattice parameters (Å, degrees): 4.557 4.557 5.298 90.00 90.00 90.00
Fractional coordinates of all 5 atoms:
1 Na 0.000 0.000 0.000
2 Ni 0.500 0.500 0.500
3 As 0.000 0.500 0.500
4 As 0.500 0.000 0.500
5 Se 0.500 0.500 0.000

Output
**E_form (uncorrected)**: 0.56 kcal/mol of atoms
**Raw total energy**: -19.76 eV for the cell shown
**Total magnetic moment**: 0.0 Bohr magnetons per cell
**ΔE to the lowest computed polymorph**: 0.000 eV per atom

(3)
TbPr2Nd5Ho | PBE-GGA | optimized geometry

Lattice parameters (Å, degrees): 10.362 10.362 10.362 130.36 130.36 72.84
Fractional coordinates of all 18 atoms:
1 Tb 0.250 0.250 0.000
2 Tb 0.750 0.750 0.000
3 Pr 0.121 0.621 0.743
4 Pr 0.379 0.121 0.500
5 Pr 0.621 0.879 0.500
6 Pr 0.879 0.379 0.257
7 Nd 0.000 0.000 0.000
8 Nd 0.073 0.140 0.500
9 Nd 0.140 0.640 0.067
10 Nd 0.360 0.427 0.500
11 Nd 0.427 0.927 0.067
12 Nd 0.500 0.500 0.000
13 Nd 0.573 0.073 0.933
14 Nd 0.640 0.573 0.500
15 Nd 0.860 0.360 0.933
16 Nd 0.927 0.860 0.500
17 Ho 0.250 0.750 0.500
18 Ho 0.750 0.250 0.500

Output
**Raw total energy**: -80.36 eV for the cell shown
**DFT formation energy**: 0.2697 eV/atom
**Total magnetic moment**: 0.0 Bohr magnetons per cell

(4)
Ho8Tl2Pt | PBE-GGA | optimized geometry

Lattice parameters (Å, degrees): 9.773 9.773 6.690 101.95 101.95 29.90
Fractional coordinates of all 11 atoms:
1 Ho 0.019 0.019 0.276
2 Ho 0.209 0.209 0.820
3 Ho 0.353 0.353 0.512
4 Ho 0.411 0.411 0.046
5 Ho 0.589 0.589 0.954
6 Ho 0.647 0.647 0.488
7 Ho 0.791 0.791 0.180
8 Ho 0.981 0.981 0.724
9 Tl 0.186 0.186 0.259
10 Tl 0.814 0.814 0.741
11 Pt 0.500 0.500 0.500

Output
**Raw total energy**: -51.20 eV for the cell shown
**DFT formation energy**: -0.3459 eV/atom
**Total magnetic moment**: 0.0 Bohr magnetons per cell